AlReIr2 | PBE | optimized geometry

Lattice parameters (Å, degrees): 4.771 4.771 4.771 132.50 132.50 69.44
Atoms (fractional coordinates):
Re  0.500  0.500  0.000
Ir  0.000  0.000  0.000
Ir  0.250  0.750  0.500
Al  0.750  0.250  0.500

Summary:
* magnetic moment: 0.0 μB/f.u.
* DFT formation energy: -0.242 eV/atom